Compound: FeCuNiPt
Source: Alexandria via LeMat-Bulk
Functional: PBE
Structure: optimized geometry

```
FeCuNiPt
1.0
4.178 0.000 0.000
2.089 3.618 0.000
2.089 1.206 3.411
Ni Fe Cu Pt
1 1 1 1
Direct
0.250 0.250 0.250 Ni
0.500 0.500 0.500 Fe
0.000 0.000 0.000 Cu
0.750 0.750 0.750 Pt
```

Calculated values
Space group = F-43m (216)
Calculated formation energy = -0.08 eV per atom
Total moment = 4.1 μB/f.u.